Record 1
This record from Alexandria via LeMat-Bulk describes a geometry-optimized Sc3NiAg structure. The functional is GGA-PBE.

Energy   -24.02 eV/cell
Relative energy among the computed polymorphs   0.977 eV per atom
Formation energy   0.721 eV/atom

Cell lengths 5.096, 5.096, 5.096 Å; angles 90.00, 90.00, 90.00 degrees
Positions (direct):
Sc: 0.000 0.500 0.000
Sc: 0.000 0.000 0.500
Sc: 0.500 0.000 0.000
Ni: 0.500 0.500 0.500
Ag: 0.000 0.000 0.000



Record 2
This record from Alexandria via LeMat-Bulk describes a geometry-optimized AcMgSnPb structure. The functional is GGA-PBE.

Energy   -14.60 eV/cell
Relative energy among the computed polymorphs   0.112 eV per atom
Formation energy   -0.296 eV/atom

Cell lengths 5.563, 5.563, 5.563 Å; angles 60.00, 60.00, 60.00 degrees
Positions (direct):
Pb: 0.000 0.000 0.000
Ac: 0.750 0.750 0.750
Mg: 0.250 0.250 0.250
Sn: 0.500 0.500 0.500



Q: Which of these has the lowest energy?
A: Sc3NiAg



Q: What is the formula in the first record?
A: Sc3NiAg



Q: The lowest formation energy belongs to which entry?
A: AcMgSnPb